{
  "formula": "NbCuPtRh",
  "functional": "PBE",
  "state": "optimized geometry",
  "vol_a3_per_atom": 14.9,
  "ef_ev_per_fu": -2.0,
  "de_polymorph_kj_per_mol_fu": 0,
  "e_tot_ev_per_atom": -7.3870,
  "spacegroup": "No. 119",
  "cell": [[-1.9856, 1.9856, 3.7810], [1.9856, -1.9856, 3.7810], [1.9856, 1.9856, -3.7810]],
  "species": ["Nb", "Cu", "Pt", "Rh"],
  "frac_coords": [[0.0000, 0.0000, 0.0000], [0.5000, 0.5000, 0.0000], [0.2500, 0.7500, 0.5000], [0.7500, 0.2500, 0.5000]]
}

=====

{
  "formula": "YFeCl2",
  "functional": "PBE",
  "state": "optimized geometry",
  "vol_a3_per_atom": 19.6,
  "raw_formation_energy_ev_per_atom": -0.423,
  "de_polymorph_kj_per_mol_fu": 154,
  "e_tot_ev_per_atom": -5.0783,
  "spacegroup": "No. 119",
  "cell": [[-1.9518, 1.9518, 5.1472], [1.9518, -1.9518, 5.1472], [1.9518, 1.9518, -5.1472]],
  "species": ["Y", "Fe", "Cl", "Cl"],
  "frac_coords": [[0.0000, 0.0000, 0.0000], [0.7500, 0.2500, 0.5000], [0.2500, 0.7500, 0.5000], [0.5000, 0.5000, 0.0000]]
}

=====

{
  "formula": "KTl2SiSe4",
  "functional": "PBE",
  "state": "optimized geometry",
  "vol_a3_per_atom": 28.0,
  "raw_formation_energy_ev_per_atom": -0.336,
  "e_tot_ev_per_atom": -3.4844,
  "spacegroup": "No. 74",
  "cell": [[-4.0159, 4.4119, 6.3255], [4.0159, -4.4119, 6.3255], [4.0159, 4.4119, -6.3255]],
  "species": ["K", "K", "Tl", "Tl", "Tl", "Tl", "Si", "Si", "Se", "Se", "Se", "Se", "Se", "Se", "Se", "Se"],
  "frac_coords": [[0.0000, 0.0000, 0.0000], [0.5000, 0.0000, 0.5000], [0.0000, 0.5000, 0.5000], [0.5000, 0.0000, 0.0000], [0.5000, 0.5000, 0.0000], [0.5000, 0.5000, 0.5000], [0.0000, 0.0000, 0.5000], [0.0000, 0.5000, 0.0000], [0.1887, 0.1947, 0.5060], [0.1887, 0.6827, 0.9940], [0.2006, 0.7493, 0.4513], [0.2019, 0.2507, 0.9513], [0.7981, 0.7493, 0.0487], [0.7994, 0.2507, 0.5487], [0.8113, 0.3173, 0.0060], [0.8113, 0.8053, 0.4940]]
}

=====

{
  "formula": "Hf2VRh",
  "functional": "PBE",
  "state": "optimized geometry",
  "vol_a3_per_atom": 17.6,
  "ef_ev_per_fu": -1.5,
  "de_polymorph_kj_per_mol_fu": 23,
  "e_tot_ev_per_atom": -9.4697,
  "spacegroup": "No. 225",
  "cell": [[0.0000, 3.2769, 3.2769], [3.2769, 0.0000, 3.2769], [3.2769, 3.2769, 0.0000]],
  "species": ["Hf", "Hf", "V", "Rh"],
  "frac_coords": [[0.2500, 0.2500, 0.2500], [0.7500, 0.7500, 0.7500], [0.0000, 0.0000, 0.0000], [0.5000, 0.5000, 0.5000]]
}